{
  "formula": "Ho8ErSc6",
  "functional": "PBE",
  "state": "relaxed",
  "lattice": [[4.672, 2.697, 5.716], [-4.672, 2.697, 5.716], [0.000, -5.394, 5.716]],
  "species": ["Ho", "Ho", "Ho", "Ho", "Ho", "Ho", "Ho", "Ho", "Er", "Sc", "Sc", "Sc", "Sc", "Sc", "Sc"],
  "fractional_positions": [[0.092, 0.092, 0.092], [0.138, 0.272, 0.566], [0.272, 0.566, 0.138], [0.434, 0.862, 0.728], [0.566, 0.138, 0.272], [0.728, 0.434, 0.862], [0.862, 0.728, 0.434], [0.908, 0.908, 0.908], [0.500, 0.500, 0.500], [0.115, 0.556, 0.790], [0.210, 0.885, 0.444], [0.444, 0.210, 0.885], [0.556, 0.790, 0.115], [0.790, 0.115, 0.556], [0.885, 0.444, 0.210]],
  "formation_energy_ev_per_atom": 0.190,
  "de_polymorph_kj_per_mol_fu": 0,
  "sg": "R-3"
}



{
  "formula": "AcAsPd4",
  "functional": "PBE",
  "state": "relaxed",
  "lattice": [[5.292, 0.000, 0.000], [0.000, 5.292, 0.000], [0.000, 0.000, 9.610]],
  "species": ["Ac", "Ac", "As", "As", "Pd", "Pd", "Pd", "Pd", "Pd", "Pd", "Pd", "Pd"],
  "fractional_positions": [[0.250, 0.750, 0.250], [0.750, 0.250, 0.750], [0.250, 0.750, 0.750], [0.750, 0.250, 0.250], [0.009, 0.250, 0.048], [0.250, 0.009, 0.548], [0.250, 0.491, 0.548], [0.491, 0.250, 0.048], [0.509, 0.750, 0.952], [0.750, 0.509, 0.452], [0.750, 0.991, 0.452], [0.991, 0.750, 0.952]],
  "formation_energy_ev_per_atom": -0.412,
  "de_polymorph_kj_per_mol_fu": 118,
  "sg": "P4_2/nmc"
}